VASP calculation (PBE) on a relaxed NaInAs2Se crystal.

## Properties
Calculated volume in Å³/f.u.: 154
Energy relative to the elements, uncorrected in eV per atom: 0.348
Space-group type: P4/mmm (123)
Polymorph energy (0 for the lowest one) in kJ/mol of atoms: 0.0
Total energy in eV/cell: -15.10
Magnetization in μB/f.u.: 1.4

a b c (Å): 5.2840 5.2840 5.5118
angles (deg): 90.00 90.00 90.00
Site moments in Bohr magnetons follow the coordinates.
Sites, in units of the cell vectors:
Na 0.5000 0.5000 0.5000  0.00
Se 0.0000 0.0000 0.5000  0.16
As 0.5000 0.0000 0.0000  0.26
As 0.0000 0.5000 0.0000  0.26
In 0.0000 0.0000 0.0000  0.00